Ca2BeAsPt | PBE | relaxed

The structure in CIF format:
```
data_Ca2BeAsPt
_chemical_formula_sum 'Ca2 Be1 As1 Pt1'
_symmetry_space_group_name_H-M 'P 1'
_symmetry_Int_Tables_number 1
_cell_length_a 5.530
_cell_length_b 5.530
_cell_length_c 4.023
_cell_angle_alpha 90.00
_cell_angle_beta 90.00
_cell_angle_gamma 90.00
loop_
_symmetry_equiv_pos_as_xyz
'x,y,z'
loop_
_atom_site_label
_atom_site_type_symbol
_atom_site_fract_x
_atom_site_fract_y
_atom_site_fract_z
Ca1 Ca 0.000 0.500 0.000
Ca2 Ca 0.500 0.000 0.000
Be1 Be 0.000 0.000 0.500
As1 As 0.000 0.000 0.000
Pt1 Pt 0.500 0.500 0.500
```

Computed properties:
Its formation enthalpy at 0 K is -0.2479 eV per atom. As for the density of states at the Fermi level: 3.556 states/eV/f.u.


NaLiSb | PBE | relaxed

The structure in CIF format:
```
data_NaLiSb
_chemical_formula_sum 'Na2 Li2 Sb2'
_symmetry_space_group_name_H-M 'P 1'
_symmetry_Int_Tables_number 1
_cell_length_a 3.905
_cell_length_b 3.905
_cell_length_c 9.425
_cell_angle_alpha 90.00
_cell_angle_beta 90.00
_cell_angle_gamma 90.00
loop_
_symmetry_equiv_pos_as_xyz
'x,y,z'
loop_
_atom_site_label
_atom_site_type_symbol
_atom_site_fract_x
_atom_site_fract_y
_atom_site_fract_z
Na1 Na 0.000 0.000 0.000
Na2 Na 0.500 0.500 0.500
Li1 Li 0.000 0.000 0.314
Li2 Li 0.500 0.500 0.814
Sb1 Sb 0.000 0.000 0.673
Sb2 Sb 0.500 0.500 0.173
```

Computed properties:
The excess energy over the best structure of this formula in the dataset comes out at 0.35 eV/f.u. As for the density of states at the Fermi level: 0.867 states/eV/f.u.


Zn3TeW | PBE | relaxed

The structure in CIF format:
```
data_Zn3TeW
_chemical_formula_sum 'Zn3 Te1 W1'
_symmetry_space_group_name_H-M 'P 1'
_symmetry_Int_Tables_number 1
_cell_length_a 5.002
_cell_length_b 5.002
_cell_length_c 5.002
_cell_angle_alpha 90.00
_cell_angle_beta 90.00
_cell_angle_gamma 90.00
loop_
_symmetry_equiv_pos_as_xyz
'x,y,z'
loop_
_atom_site_label
_atom_site_type_symbol
_atom_site_fract_x
_atom_site_fract_y
_atom_site_fract_z
Zn1 Zn 0.000 0.000 0.500
Zn2 Zn 0.000 0.500 0.000
Zn3 Zn 0.500 0.000 0.000
Te1 Te 0.500 0.500 0.500
W1 W 0.000 0.000 0.000
```

Computed properties:
The excess energy over the best structure of this formula in the dataset comes out at 0.00 eV/f.u. As for the density of states at the Fermi level: 5.346 states/eV/f.u.


UTiBeO6 | PBE | relaxed

The structure in CIF format:
```
data_UTiBeO6
_chemical_formula_sum 'U2 Ti2 Be2 O12'
_symmetry_space_group_name_H-M 'P 1'
_symmetry_Int_Tables_number 1
_cell_length_a 5.001
_cell_length_b 5.001
_cell_length_c 8.856
_cell_angle_alpha 90.00
_cell_angle_beta 90.00
_cell_angle_gamma 120.00
loop_
_symmetry_equiv_pos_as_xyz
'x,y,z'
loop_
_atom_site_label
_atom_site_type_symbol
_atom_site_fract_x
_atom_site_fract_y
_atom_site_fract_z
U1 U 0.333 0.667 0.250
U2 U 0.667 0.333 0.750
Ti1 Ti 0.000 0.000 0.000
Ti2 Ti 0.000 0.000 0.500
Be1 Be 0.333 0.667 0.750
Be2 Be 0.667 0.333 0.250
O1 O 0.029 0.342 0.629
O2 O 0.029 0.687 0.871
O3 O 0.313 0.342 0.871
O4 O 0.313 0.971 0.629
O5 O 0.342 0.029 0.129
O6 O 0.342 0.313 0.371
O7 O 0.658 0.687 0.629
O8 O 0.658 0.971 0.871
O9 O 0.687 0.029 0.371
O10 O 0.687 0.658 0.129
O11 O 0.971 0.313 0.129
O12 O 0.971 0.658 0.371
```


| no. | size of the total moment (μB per atom) | calculated volume (Å³ per atom) | final energy (eV per atom) |
| --- | --- | --- | --- |
| 1 | 0.000 | 24.61 | -3.932 |
| 2 | 0.000 | 23.95 | -2.811 |
| 3 | 0.328 | 25.02 | -2.848 |
| 4 | 0.000 | 10.66 | -8.564 |